Entry 1:
The following is a PBE calculation of a relaxed HgMo2Cl crystal, from Alexandria via LeMat-Bulk.

The structure belongs to space group I4/mmm (No. 139); the cell edges are 3.948, 3.948 and 9.354 Å and the angles 90.00°, 90.00° and 90.00°. The distinct sites, in fractional coordinates, are Hg at (0.000, 0.000, 0.000), Mo at (0.000, 0.500, 0.250) and Cl at (0.000, 0.000, 0.500).

As for the total magnetization: 0.00 μB/cell. The calculated density is 9.75 g/cm3.

Entry 2:
The following is a PBE calculation of a relaxed HgMoCl2 crystal, from Alexandria via LeMat-Bulk.

The structure belongs to space group P4/mmm (No. 123); the cell edges are 4.687, 4.687 and 4.072 Å and the angles 90.00°, 90.00° and 90.00°. The distinct sites, in fractional coordinates, are Hg at (0.000, 0.000, 0.000), Mo at (0.500, 0.500, 0.000) and Cl at (0.000, 0.500, 0.500).

As for the total magnetization: 4.06 μB/cell. The calculated density is 6.82 g/cm3.

Entry 3:
The following is a PBE calculation of a relaxed HgMo2Cl crystal, from Alexandria via LeMat-Bulk.

The structure belongs to space group I-4m2 (No. 119); the cell edges are 4.405, 4.405 and 7.363 Å and the angles 90.00°, 90.00° and 90.00°. The distinct sites, in fractional coordinates, are Hg at (0.000, 0.000, 0.000), Mo at (0.000, 0.000, 0.500), Mo at (0.000, 0.500, 0.750) and Cl at (0.000, 0.500, 0.250).

As for the total magnetization: 0.00 μB/cell. The calculated density is 9.95 g/cm3.

Entry 4:
The following is a PBE calculation of a relaxed HgMo2Cl crystal, from Alexandria via LeMat-Bulk.

The structure belongs to space group Cm (No. 8); the cell edges are 12.551, 3.141 and 4.994 Å and the angles 90.00°, 99.62° and 90.00°. The distinct sites, in fractional coordinates, are Hg at (0.000, 0.000, 0.000), Mo at (0.118, 0.000, 0.557), Mo at (0.473, 0.000, 0.486) and Cl at (0.270, 0.500, 0.417).

As for the total magnetization: 0.00 μB/cell. The calculated density is 7.32 g/cm3.

Entry 5:
The following is a PBE calculation of a relaxed Hg3MoCl crystal, from Alexandria via LeMat-Bulk.

The structure belongs to space group Pm-3m (No. 221); the cell edges are 5.721, 5.721 and 5.721 Å and the angles 90.00°, 90.00° and 90.00°. The distinct sites, in fractional coordinates, are Hg at (0.000, 0.000, 0.500), Mo at (0.500, 0.500, 0.500) and Cl at (0.000, 0.000, 0.000).

As for the total magnetization: 5.00 μB/cell. The calculated density is 6.50 g/cm3.

Entry 6:
The following is a PBE calculation of a relaxed HgMoCl2 crystal, from Alexandria via LeMat-Bulk.

The structure belongs to space group P2/m (No. 10); the cell edges are 5.788, 3.628 and 6.576 Å and the angles 90.00°, 115.97° and 90.00°. The distinct sites, in fractional coordinates, are Hg at (0.000, 0.000, 0.000), Mo at (0.500, 0.000, 0.000) and Cl at (0.359, 0.500, 0.716).

As for the total magnetization: 2.99 μB/cell. The calculated density is 4.91 g/cm3.

Entry 7:
The following is a PBE calculation of a relaxed HgMo2Cl crystal, from Alexandria via LeMat-Bulk.

The structure belongs to space group Imm2 (No. 44); the cell edges are 3.150, 4.942 and 10.993 Å and the angles 90.00°, 90.00° and 90.00°. The distinct sites, in fractional coordinates, are Hg at (0.000, 0.000, 0.000), Mo at (0.000, 0.000, 0.492), Mo at (0.000, 0.500, 0.151) and Cl at (0.000, 0.500, 0.776).

As for the total magnetization: 0.00 μB/cell. The calculated density is 8.31 g/cm3.

Entry 8:
The following is a PBE calculation of a relaxed HgMoCl crystal, from Alexandria via LeMat-Bulk.

The structure belongs to space group P-6m2 (No. 187); the cell edges are 4.5298, 4.5298 and 3.4541 Å and the angles 90.00°, 90.00° and 120.00°. The distinct sites, in fractional coordinates, are Hg at (0.0000, 0.0000, 0.0000), Mo at (0.6667, 0.3333, 0.5000) and Cl at (0.3333, 0.6667, 0.5000).

As for the total magnetization: 2.91 μB/cell. The calculated density is 8.98 g/cm3.

Entry 9:
The following is a PBE calculation of a relaxed HgMoCl crystal, from Alexandria via LeMat-Bulk.

The structure belongs to space group P3m1 (No. 156); the cell edges are 3.0957, 3.0957 and 8.0286 Å and the angles 90.00°, 90.00° and 120.00°. The distinct sites, in fractional coordinates, are Hg at (0.0000, 0.0000, 0.0000), Mo at (0.6667, 0.3333, 0.2985) and Cl at (0.3333, 0.6667, 0.4984).

As for the total magnetization: 0.00 μB/cell. The calculated density is 8.27 g/cm3.

Entry 10:
The following is a PBE calculation of a relaxed HgMoCl2 crystal, from Alexandria via LeMat-Bulk.

The structure belongs to space group Pmmm (No. 47); the cell edges are 3.439, 4.428 and 5.710 Å and the angles 90.00°, 90.00° and 90.00°. The distinct sites, in fractional coordinates, are Hg at (0.000, 0.000, 0.000), Mo at (0.500, 0.000, 0.500), Cl at (0.000, 0.500, 0.500) and Cl at (0.500, 0.500, 0.000).

As for the total magnetization: 3.61 μB/cell. The calculated density is 7.02 g/cm3.

Entry 11:
The following is a PBE calculation of a relaxed HgMoCl2 crystal, from Alexandria via LeMat-Bulk.

The structure belongs to space group R-3m (No. 166, hexagonal axes); the cell edges are 3.2118, 3.2118 and 32.9450 Å and the angles 90.00°, 90.00° and 120.00°. The distinct sites, in fractional coordinates, are Hg at (0.0000, 0.0000, 0.0000), Mo at (0.0000, 0.0000, 0.5000) and Cl at (0.0000, 0.0000, 0.1157).

As for the total magnetization: 0.00 μB/cell. The calculated density is 6.22 g/cm3.

Entry 12:
The following is a PBE calculation of a relaxed HgMo2Cl crystal, from Alexandria via LeMat-Bulk.

The structure belongs to space group Pmmm (No. 47); the cell edges are 2.847, 4.913 and 5.207 Å and the angles 90.00°, 90.00° and 90.00°. The distinct sites, in fractional coordinates, are Hg at (0.000, 0.000, 0.000), Mo at (0.000, 0.500, 0.500), Mo at (0.500, 0.500, 0.000) and Cl at (0.500, 0.000, 0.500).

As for the total magnetization: 0.10 μB/cell. The calculated density is 9.76 g/cm3.

| no. | uncorrected energy (eV/atom) |
| --- | --- |
| 1 | -4.826 |
| 2 | -3.202 |
| 3 | -4.960 |
| 4 | -5.523 |
| 5 | -1.551 |
| 6 | -3.980 |
| 7 | -5.462 |
| 8 | -3.622 |
| 9 | -4.237 |
| 10 | -3.252 |
| 11 | -4.013 |
| 12 | -5.128 |